Density functional theory data (PBE) for a relaxed PAu2CO crystal.

a = 4.814 Å, b = 4.814 Å, c = 3.335 Å
α = 90.00°, β = 90.00°, γ = 90.00°
Sites, in units of the cell vectors:
P1 0.000 0.000 0.000
Au1 0.000 0.500 0.000
Au2 0.500 0.000 0.000
C1 0.500 0.500 0.500
O1 0.000 0.000 0.500

Output
Energy in eV/atom: -4.12
Uncorrected formation energy in eV/atom: 1.11